[1]
Computed, not measured: a geometry-optimized TbScGe2Au2 structure at the PBE level of DFT.

Unit cell a=4.4294 b=4.4294 c=7.1126 alpha=90.00 beta=90.00 gamma=120.00
With the nearest neighbours (Å) after each atom.
Atoms (fractional coordinates):
Tb 0.0000 0.0000 0.0005  3 Ge 2.98, 3 Au 2.99
Ge 0.3333 0.6667 0.2148  3 Au 2.64
Ge 0.6667 0.3333 0.6961  4 Au 2.63-2.76, 3 Sc 2.92
Sc 0.0000 0.0000 0.4991  3 Au 2.89, 3 Ge 2.92
Au 0.3333 0.6667 0.7823  3 Ge 2.63
Au 0.6667 0.3333 0.3086  4 Ge 2.64-2.76, 3 Sc 2.89


[2]
Computed, not measured: a geometry-optimized CsGdGaTe3 structure at the PBE level of DFT.

Unit cell a=8.6185 b=8.6185 c=11.8208 alpha=90.00 beta=90.00 gamma=147.28
With the nearest neighbours (Å) after each atom.
Atoms (fractional coordinates):
Te 0.8813 0.1187 0.4409  1 Ga 2.77
Te 0.1187 0.8813 0.5591  1 Ga 2.77
Te 0.8813 0.1187 0.0591  1 Ga 2.77
Te 0.5601 0.4399 0.2500  2 Ga 2.77
Te 0.1187 0.8813 0.9409  1 Ga 2.77
Te 0.4399 0.5601 0.7500  2 Ga 2.77
Ga 0.0212 0.9788 0.7500  4 Te 2.77
Ga 0.9788 0.0212 0.2500  4 Te 2.77
Gd 0.5000 0.5000 0.5000  6 Te 3.12-3.20
Gd 0.5000 0.5000 0.0000  6 Te 3.12-3.20
Cs 0.7535 0.2465 0.7500  8 Te 3.92-4.22
Cs 0.2465 0.7535 0.2500  8 Te 3.92-4.22


[3]
Computed, not measured: a geometry-optimized SrHgPO structure at the PBE level of DFT.

Unit cell a=3.9388 b=8.0203 c=6.2389 alpha=90.00 beta=90.00 gamma=90.00
With the nearest neighbours (Å) after each atom.
Atoms (fractional coordinates):
Hg 0.0000 0.8518 0.9514  1 O 2.15
Hg 0.0000 0.1482 0.4514  1 O 2.15
Sr 0.5000 0.2683 0.9431  2 O 2.31
Sr 0.5000 0.7317 0.4431  2 O 2.31
O 0.0000 0.1181 0.9160  1 Hg 2.15, 2 Sr 2.31
O 0.0000 0.8819 0.4160  1 Hg 2.15, 2 Sr 2.31
P 0.5000 0.3445 0.4435  2 Hg 2.52
P 0.5000 0.6555 0.9435  2 Hg 2.52


[4]
Computed, not measured: a geometry-optimized HfBeGe structure at the PBE level of DFT.

Unit cell a=4.3256 b=4.3256 c=4.3256 alpha=60.00 beta=60.00 gamma=60.00
With the nearest neighbours (Å) after each atom.
Atoms (fractional coordinates):
Be 0.2500 0.2500 0.2500  4 Hf 2.65
Hf 0.0000 0.0000 0.0000  4 Be 2.65, 4 Ge 2.65
Ge 0.7500 0.7500 0.7500  4 Hf 2.65


[5]
Computed, not measured: a geometry-optimized BaSmMo structure at the PBE level of DFT.

The energy above the most stable polymorph in this dataset is 0 meV/atom.

Unit cell a=5.1823 b=5.1823 c=5.1823 alpha=60.00 beta=60.00 gamma=60.00
With the nearest neighbours (Å) after each atom.
Atoms (fractional coordinates):
Sm 0.7500 0.7500 0.7500  4 Mo 3.17
Mo 0.0000 0.0000 0.0000  4 Sm 3.17, 4 Ba 3.17
Ba 0.2500 0.2500 0.2500  4 Mo 3.17


[6]
Computed, not measured: a geometry-optimized TbAgPO structure at the PBE level of DFT.

The energy above the most stable polymorph in this dataset is 330 meV/atom.

Unit cell a=4.1658 b=6.2947 c=5.5398 alpha=90.00 beta=90.00 gamma=90.00
With the nearest neighbours (Å) after each atom.
Atoms (fractional coordinates):
O 0.5000 0.4579 0.3696  2 Tb 2.15-2.18, 2 Ag 2.37
O 0.5000 0.5421 0.8696  2 Tb 2.15-2.18, 2 Ag 2.37
P 0.0000 0.9826 0.2957  2 Ag 2.53-2.61, 2 P 2.78
P 0.0000 0.0174 0.7957  2 Ag 2.53-2.61, 2 P 2.78
Ag 0.0000 0.6564 0.0284  2 O 2.37, 2 P 2.53-2.61
Ag 0.0000 0.3436 0.5284  2 O 2.37, 2 P 2.53-2.61
Tb 0.5000 0.2440 0.0603  2 O 2.15-2.18
Tb 0.5000 0.7560 0.5603  2 O 2.15-2.18


[7]
Computed, not measured: a geometry-optimized HoTc structure at the PBE level of DFT.

The calculation puts the calculated formation energy at 0.43 eV per atom.

Unit cell a=3.3431 b=3.3431 c=4.2543 alpha=90.00 beta=90.00 gamma=120.00
With the nearest neighbours (Å) after each atom.
Atoms (fractional coordinates):
Ho 0.6667 0.3333 0.7500  6 Tc 2.87
Tc 0.3333 0.6667 0.2500  6 Ho 2.87


[8]
Computed, not measured: a geometry-optimized YEr2Zn4Si4 structure at the PBE level of DFT.

Unit cell a=12.6317 b=12.6317 c=12.6317 alpha=161.84 beta=161.39 gamma=26.12
With the nearest neighbours (Å) after each atom.
Atoms (fractional coordinates):
Si 0.5475 0.5475 0.0000  1 Si 2.34, 2 Zn 2.34
Si 0.8110 0.3110 0.5000  5 Zn 2.33-2.53
Si 0.1890 0.6890 0.5000  5 Zn 2.33-2.53
Si 0.4525 0.4525 0.0000  1 Si 2.34, 2 Zn 2.34
Er 0.6432 0.1432 0.5000  6 Si 3.07-3.09, 8 Zn 3.10-3.34
Er 0.3568 0.8568 0.5000  6 Si 3.07-3.09, 8 Zn 3.10-3.34
Zn 0.2505 0.2505 0.0000  4 Si 2.50-2.53
Zn 0.0943 0.5943 0.5000  3 Si 2.33-2.34
Zn 0.9057 0.4057 0.5000  3 Si 2.33-2.34
Zn 0.7495 0.7495 0.0000  4 Si 2.50-2.53
Y 0.0000 0.0000 0.0000  4 Zn 3.06, 8 Si 3.08


[9]
Computed, not measured: a geometry-optimized RbPbAuS3 structure at the PBE level of DFT.

Unit cell a=7.0054 b=7.0054 c=11.3613 alpha=90.00 beta=90.00 gamma=37.19
With the nearest neighbours (Å) after each atom.
Atoms (fractional coordinates):
S 0.1350 0.1350 0.5480  1 Au 2.40
S 0.4942 0.4942 0.7500  2 Au 2.52
S 0.8650 0.8650 0.4520  1 Au 2.40
S 0.8650 0.8650 0.0480  1 Au 2.40
S 0.5058 0.5058 0.2500  2 Au 2.52
S 0.1350 0.1350 0.9520  1 Au 2.40
Rb 0.7891 0.7891 0.7500  9 S 3.52-3.92, 3 Au 3.54-3.89
Rb 0.2109 0.2109 0.2500  9 S 3.52-3.92, 3 Au 3.54-3.89
Pb 0.5000 0.5000 0.5000  6 S 2.84-2.92
Pb 0.5000 0.5000 0.0000  6 S 2.84-2.92
Au 0.0824 0.0824 0.7500  4 S 2.40-2.52
Au 0.9176 0.9176 0.2500  4 S 2.40-2.52


[10]
Computed, not measured: a geometry-optimized MgCuP structure at the PBE level of DFT.

Unit cell a=6.3207 b=6.3207 c=3.8046 alpha=90.00 beta=90.00 gamma=120.00
With the nearest neighbours (Å) after each atom.
Atoms (fractional coordinates):
P 0.3333 0.6667 0.0000  3 Cu 2.41, 6 Mg 2.69
P 0.0000 0.0000 0.5000  6 Cu 2.47, 3 Mg 2.62
P 0.6667 0.3333 0.0000  3 Cu 2.41, 6 Mg 2.69
Cu 0.2500 0.0000 0.0000  4 P 2.41-2.47
Cu 0.0000 0.2500 0.0000  4 P 2.41-2.47
Cu 0.7500 0.7500 0.0000  4 P 2.41-2.47
Mg 0.4148 0.4148 0.5000  5 P 2.62-2.69, 2 Cu 2.85
Mg 0.0000 0.5851 0.5000  5 P 2.62-2.69, 2 Cu 2.85
Mg 0.5852 0.0000 0.5000  5 P 2.62-2.69, 2 Cu 2.85


[11]
Computed, not measured: a geometry-optimized Nd2Y2Br2NCl3 structure at the PBE level of DFT.

Unit cell a=9.0438 b=9.0438 c=8.0203 alpha=102.63 beta=102.63 gamma=24.10
With the nearest neighbours (Å) after each atom.
Atoms (fractional coordinates):
Nd 0.0000 0.0000 0.7890  2 N 2.54, 1 Cl 2.83
Nd 0.0000 0.0000 0.2110  2 N 2.54, 1 Cl 2.83
N 0.5000 0.5000 0.0000  2 Y 2.35, 4 Nd 2.54
Cl 0.5000 0.5000 0.5000  4 Nd 2.99
Cl 0.8362 0.8362 0.6762  2 Y 2.74, 1 Nd 2.83
Cl 0.1638 0.1638 0.3238  2 Y 2.74, 1 Nd 2.83
Br 0.8260 0.8260 0.1745  2 Y 2.91, 1 Nd 3.03
Br 0.1740 0.1740 0.8255  2 Y 2.91, 1 Nd 3.03
Y 0.6364 0.6364 0.0705  1 N 2.35
Y 0.3636 0.3636 0.9295  1 N 2.35


[12]
Computed, not measured: a geometry-optimized Tm3Lu3NiBi2 structure at the PBE level of DFT.

The energy above the most stable polymorph in this dataset is 26 meV/atom.

Unit cell a=8.2921 b=8.2921 c=3.9971 alpha=90.00 beta=90.00 gamma=120.00
With the nearest neighbours (Å) after each atom.
Atoms (fractional coordinates):
Lu 0.6084 0.6084 0.0000  4 Bi 3.25, 1 Ni 3.25, 4 Tm 3.47
Lu 0.0000 0.3916 0.0000  4 Bi 3.25, 1 Ni 3.25, 4 Tm 3.47
Lu 0.3916 0.0000 0.0000  4 Bi 3.25, 1 Ni 3.25, 4 Tm 3.47
Tm 0.2352 0.2352 0.5000  2 Ni 2.79
Tm 0.0000 0.7648 0.5000  2 Ni 2.79
Tm 0.7648 0.0000 0.5000  2 Ni 2.79
Bi 0.3333 0.6667 0.5000  6 Lu 3.25, 3 Tm 3.25
Bi 0.6667 0.3333 0.5000  6 Lu 3.25, 3 Tm 3.25
Ni 0.0000 0.0000 0.0000  6 Tm 2.79


Q: Which raw total energy values were calculated for the entries above? A: -31.42 -23.84 -15.65 -17.24 -14.11 -22.82 -14.07 -48.01 -22.43 -11.96 -57.38 -44.86, in eV per formula unit.